No. 1
First-principles (SCAN) data for a PBEsol-optimized structure of Li2RePb, as listed in Alexandria via LeMat-Bulk.

Unit cell a=2.7704 b=2.7704 c=9.0784 alpha=90.00 beta=90.00 gamma=90.00
With the nearest neighbours (Å) after each atom.
Positions (direct):
Re1 0.5000 0.5000 0.5000  4 Re 2.77, 8 Li 2.83
Li1 0.0000 0.0000 0.2751  4 Li 2.77, 4 Re 2.83
Li2 0.0000 0.0000 0.7249  4 Li 2.77, 4 Re 2.83
Pb1 0.5000 0.5000 0.0000  4 Pb 2.77

DFT formation energy = 1.36 eV per formula unit
final energy = -150.300 eV/cell
crystal system = tetragonal
spin magnetization = 0.0 μB/f.u.
symmetry = P4/mmm, No. 123



No. 2
First-principles (SCAN) data for a PBEsol-optimized structure of BaMnPt2, as listed in Alexandria via LeMat-Bulk.

Unit cell a=3.5827 b=4.7995 c=4.7995 alpha=90.00 beta=90.00 gamma=90.00
With the nearest neighbours (Å) after each atom.
Positions (direct):
Ba1 0.5000 0.5000 0.5000  8 Pt 2.99
Pt1 0.0000 0.0000 0.5000  4 Ba 2.99, 4 Mn 2.99
Mn1 0.5000 0.0000 0.0000  8 Pt 2.99
Pt2 0.0000 0.5000 0.0000  4 Ba 2.99, 4 Mn 2.99

DFT formation energy = -0.67 eV per formula unit
final energy = -198.859 eV/cell
crystal system = tetragonal
spin magnetization = 4.7 μB/f.u.
symmetry = P4/mmm, No. 123



No. 3
First-principles (SCAN) data for a PBEsol-optimized structure of TcSb3Au, as listed in Alexandria via LeMat-Bulk.

Unit cell a=5.0484 b=5.0484 c=5.0484 alpha=90.00 beta=90.00 gamma=90.00
With the nearest neighbours (Å) after each atom.
Positions (direct):
Sb1 0.5000 0.0000 0.0000  2 Tc 2.52
Sb2 0.0000 0.0000 0.5000  2 Tc 2.52
Tc1 0.0000 0.0000 0.0000  6 Sb 2.52
Sb3 0.0000 0.5000 0.0000  2 Tc 2.52
Au1 0.5000 0.5000 0.5000  12 Sb 3.57

final energy = -213.148 eV/cell
formation energy from raw total energies = 0.57 eV per atom
crystal system = cubic
spin magnetization = 0.0 μB/f.u.
symmetry = Pm-3m, No. 221



No. 4
First-principles (SCAN) data for a PBEsol-optimized structure of LiMg2GeCl, as listed in Alexandria via LeMat-Bulk.

Unit cell a=4.9035 b=4.9035 c=5.1532 alpha=90.00 beta=90.00 gamma=90.00
With the nearest neighbours (Å) after each atom.
Positions (direct):
Ge1 0.0000 0.0000 0.5000  2 Cl 2.58
Mg1 0.0000 0.5000 0.0000  2 Cl 2.45
Li1 0.5000 0.5000 0.5000  4 Ge 3.47, 8 Mg 3.56
Mg2 0.5000 0.0000 0.0000  2 Cl 2.45
Cl1 0.0000 0.0000 0.0000  4 Mg 2.45, 2 Ge 2.58

final energy = -38.434 eV/cell
formation energy from raw total energies = 0.19 eV per atom
crystal system = tetragonal
spin magnetization = 0.0 μB/f.u.
symmetry = P4/mmm, No. 123



No. 5
First-principles (SCAN) data for a PBEsol-optimized structure of ErTaO4, as listed in Alexandria via LeMat-Bulk.

Unit cell a=5.0711 b=5.2494 c=5.3720 alpha=90.00 beta=90.00 gamma=96.54
With the nearest neighbours (Å) after each atom.
Positions (direct):
O1 0.2485 0.0960 0.0763  1 Ta 1.88
Er1 0.0000 0.7500 0.2350  8 O 2.26-2.46
O2 0.2641 0.9900 0.5593  2 Ta 1.98-2.20
Er2 0.0000 0.2500 0.7650  8 O 2.26-2.46
O3 0.7515 0.9040 0.9237  1 Ta 1.88
O4 0.2485 0.5960 0.9237  1 Ta 1.88
O5 0.7359 0.0100 0.4407  2 Ta 1.98-2.20
O6 0.7515 0.4040 0.0763  1 Ta 1.88
O7 0.2641 0.4900 0.4407  2 Ta 1.98-2.20
Ta1 0.5000 0.2500 0.3024  4 O 1.88-1.98
Ta2 0.5000 0.7500 0.6976  4 O 1.88-1.98
O8 0.7359 0.5100 0.5593  2 Ta 1.98-2.20

final energy = -326.601 eV/cell
formation energy from raw total energies = -3.58 eV per atom
crystal system = monoclinic
spin magnetization = 0.0 μB/f.u.
symmetry = P2/c, No. 13



No. 6
First-principles (SCAN) data for a PBEsol-optimized structure of K2AgPtF, as listed in Alexandria via LeMat-Bulk.

Unit cell a=4.0261 b=5.9809 c=5.9809 alpha=90.00 beta=90.00 gamma=90.00
With the nearest neighbours (Å) after each atom.
Positions (direct):
K1 0.0000 0.5000 0.0000  2 Ag 2.99
Pt1 0.5000 0.5000 0.5000  8 K 3.60, 2 Pt 4.03
F1 0.5000 0.0000 0.0000  2 Ag 2.01
K2 0.0000 0.0000 0.5000  2 Ag 2.99
Ag1 0.0000 0.0000 0.0000  2 F 2.01

final energy = -122.594 eV/cell
formation energy from raw total energies = -0.17 eV per atom
crystal system = tetragonal
spin magnetization = 0.0 μB/f.u.
symmetry = P4/mmm, No. 123



No. 7
First-principles (SCAN) data for a PBEsol-optimized structure of BaMg2Zn, as listed in Alexandria via LeMat-Bulk.

Unit cell a=4.8457 b=4.8445 c=6.5256 alpha=111.81 beta=90.00 gamma=120.01
With the nearest neighbours (Å) after each atom.
Positions (direct):
Ba1 0.2452 0.4904 0.7357  4 Zn 3.43-3.73, 7 Mg 3.49-3.78
Mg1 0.7679 0.5358 0.3038  3 Zn 2.80, 3 Mg 2.95
Mg2 0.0478 0.0956 0.1434  3 Mg 2.95, 3 Zn 2.98
Zn1 0.4391 0.8782 0.3171  6 Mg 2.80-2.98

DFT formation energy = -0.34 eV per formula unit
final energy = -63.355 eV/cell
crystal system = trigonal
spin magnetization = 0.0 μB/f.u.
symmetry = R3m, No. 160



No. 8
First-principles (SCAN) data for a PBEsol-optimized structure of LuSi2Ru2, as listed in Alexandria via LeMat-Bulk.

Unit cell a=4.1127 b=4.1127 c=5.5094 alpha=111.92 beta=111.92 gamma=90.00
With the nearest neighbours (Å) after each atom.
Positions (direct):
Ru1 0.2500 0.7500 0.5000  4 Si 2.35
Lu1 0.0000 0.0000 0.0000  8 Ru 3.11, 10 Si 3.15-3.47
Si1 0.3707 0.3707 0.7415  4 Ru 2.35, 1 Si 2.42
Ru2 0.7500 0.2500 0.5000  4 Si 2.35
Si2 0.6293 0.6293 0.2585  4 Ru 2.35, 1 Si 2.42

final energy = -149.895 eV/cell
formation energy from raw total energies = -0.97 eV per atom
crystal system = tetragonal
spin magnetization = 0.0 μB/f.u.
symmetry = I4/mmm, No. 139



No. 9
First-principles (SCAN) data for a PBEsol-optimized structure of AgRuPt2, as listed in Alexandria via LeMat-Bulk.

Unit cell a=2.7380 b=2.7380 c=9.2690 alpha=81.51 beta=81.51 gamma=60.00
With the nearest neighbours (Å) after each atom.
Positions (direct):
Ag1 0.0000 0.0000 0.0000  6 Ag 2.74, 6 Pt 2.87
Pt1 0.2460 0.2460 0.2619  3 Ru 2.69, 6 Pt 2.74, 3 Ag 2.87
Ru1 0.5000 0.5000 0.5000  6 Pt 2.69, 6 Ru 2.74
Pt2 0.7540 0.7540 0.7381  3 Ru 2.69, 6 Pt 2.74, 3 Ag 2.87

DFT formation energy = 0.17 eV per formula unit
final energy = -206.406 eV/cell
crystal system = trigonal
spin magnetization = 0.1 μB/f.u.
E above lowest polymorph = 43 meV per atom
symmetry = R-3m, No. 166



No. 10
First-principles (SCAN) data for a PBEsol-optimized structure of Rb3HfI, as listed in Alexandria via LeMat-Bulk.

Unit cell a=6.7552 b=6.7552 c=6.7552 alpha=90.00 beta=90.00 gamma=90.00
With the nearest neighbours (Å) after each atom.
Positions (direct):
I1 0.0000 0.0000 0.0000  6 Rb 3.38
Rb1 0.5000 0.0000 0.0000  2 I 3.38
Rb2 0.0000 0.0000 0.5000  2 I 3.38
Hf1 0.5000 0.5000 0.5000  12 Rb 4.78
Rb3 0.0000 0.5000 0.0000  2 I 3.38

final energy = -159.189 eV/cell
formation energy from raw total energies = 0.49 eV per atom
crystal system = cubic
spin magnetization = 4.0 μB/f.u.
symmetry = Pm-3m, No. 221



No. 11
First-principles (SCAN) data for a PBEsol-optimized structure of RbMg2In2, as listed in Alexandria via LeMat-Bulk.

Unit cell a=5.0298 b=5.0298 c=7.0021 alpha=111.05 beta=111.05 gamma=90.00
With the nearest neighbours (Å) after each atom.
Positions (direct):
In1 0.6187 0.6187 0.2374  1 In 2.86, 4 Mg 2.97
Mg1 0.7500 0.2500 0.5000  4 In 2.97
In2 0.3813 0.3813 0.7626  1 In 2.86, 4 Mg 2.97
Rb1 0.0000 0.0000 0.0000  8 In 3.83, 8 Mg 3.93
Mg2 0.2500 0.7500 0.5000  4 In 2.97

DFT formation energy = -0.62 eV per formula unit
final energy = -98.081 eV/cell
crystal system = tetragonal
spin magnetization = 0.0 μB/f.u.
E above lowest polymorph = 0 meV per atom
symmetry = I4/mmm, No. 139



No. 12
First-principles (SCAN) data for a PBEsol-optimized structure of LaSc2Cu, as listed in Alexandria via LeMat-Bulk.

Unit cell a=3.4090 b=3.4090 c=9.5205 alpha=79.69 beta=79.69 gamma=60.00
With the nearest neighbours (Å) after each atom.
Positions (direct):
Sc1 0.7688 0.7688 0.6937  3 Cu 2.67
Sc2 0.2312 0.2312 0.3063  3 Cu 2.67
Cu1 0.5000 0.5000 0.5000  6 Sc 2.67
La1 0.0000 0.0000 0.0000  6 La 3.41, 6 Sc 3.47

DFT formation energy = 0.26 eV per formula unit
final energy = -86.521 eV/cell
crystal system = trigonal
spin magnetization = 0.0 μB/f.u.
E above lowest polymorph = 171 meV per atom
symmetry = R-3m, No. 166



No. 13
First-principles (SCAN) data for a PBEsol-optimized structure of ReSiAs2, as listed in Alexandria via LeMat-Bulk.

Unit cell a=3.0460 b=4.4724 c=4.4724 alpha=90.00 beta=90.00 gamma=90.00
With the nearest neighbours (Å) after each atom.
Positions (direct):
Si1 0.5000 0.0000 0.0000  8 As 2.71
Re1 0.5000 0.5000 0.5000  8 As 2.71
As1 0.0000 0.0000 0.5000  4 Re 2.71, 4 Si 2.71
As2 0.0000 0.5000 0.0000  4 Re 2.71, 4 Si 2.71

final energy = -118.408 eV/cell
formation energy from raw total energies = 0.77 eV per atom
crystal system = tetragonal
spin magnetization = 0.0 μB/f.u.
symmetry = P4/mmm, No. 123



No. 14
First-principles (SCAN) data for a PBEsol-optimized structure of In2CoTc, as listed in Alexandria via LeMat-Bulk.

Unit cell a=3.8979 b=3.8979 c=5.0835 alpha=112.54 beta=112.54 gamma=90.00
With the nearest neighbours (Å) after each atom.
Positions (direct):
Co1 0.2500 0.7500 0.5000  8 In 2.76-2.89, 4 Tc 2.89
Tc1 0.5000 0.5000 0.0000  8 In 2.76-2.89, 4 Co 2.89
In1 0.7500 0.2500 0.5000  4 Co 2.76, 4 In 2.89, 4 Tc 2.89
In2 0.0000 0.0000 0.0000  4 Tc 2.76, 4 Co 2.89, 4 In 2.89

DFT formation energy = 1.33 eV per formula unit
final energy = -117.805 eV/cell
crystal system = tetragonal
spin magnetization = 3.2 μB/f.u.
E above lowest polymorph = 28 meV per atom
symmetry = I-4m2, No. 119



No. 15
First-principles (SCAN) data for a PBEsol-optimized structure of Li2HfAs2, as listed in Alexandria via LeMat-Bulk.

Unit cell a=3.0267 b=7.3832 c=7.3832 alpha=90.00 beta=90.00 gamma=90.00
With the nearest neighbours (Å) after each atom.
Positions (direct):
Li1 0.5000 0.1239 0.6239  6 As 2.58-2.71, 1 Li 2.59
As1 0.0000 0.1766 0.3234  6 Li 2.58-2.71, 2 Hf 2.72
Li2 0.5000 0.6239 0.8761  6 As 2.58-2.71, 1 Li 2.59
As2 0.0000 0.8234 0.6766  6 Li 2.58-2.71, 2 Hf 2.72
Li3 0.5000 0.3761 0.1239  6 As 2.58-2.71, 1 Li 2.59
As3 0.0000 0.6766 0.1766  6 Li 2.58-2.71, 2 Hf 2.72
Li4 0.5000 0.8761 0.3761  6 As 2.58-2.71, 1 Li 2.59
As4 0.0000 0.3234 0.8234  6 Li 2.58-2.71, 2 Hf 2.72
Hf1 0.0000 0.0000 0.0000  4 As 2.72, 2 Hf 3.03
Hf2 0.0000 0.5000 0.5000  4 As 2.72, 2 Hf 3.03

DFT formation energy = -2.93 eV per formula unit
final energy = -221.532 eV/cell
crystal system = tetragonal
spin magnetization = 0.0 μB/f.u.
symmetry = P4/mbm, No. 127



No. 16
First-principles (SCAN) data for a PBEsol-optimized structure of BaPt, as listed in Alexandria via LeMat-Bulk.

Unit cell a=4.0679 b=6.2137 c=7.3058 alpha=108.44 beta=90.00 gamma=109.11
With the nearest neighbours (Å) after each atom.
Positions (direct):
Pt1 0.3285 0.6570 0.1324  4 Pt 2.77-2.79
Pt2 0.9533 0.9067 0.3750  3 Pt 2.77-2.83
Pt3 0.9309 0.8618 0.9771  3 Pt 2.79-2.83, 1 Ba 3.11
Ba1 0.3535 0.7071 0.6113  5 Pt 3.14-3.41, 1 Ba 3.29
Ba2 0.6175 0.2351 0.2510  5 Pt 3.14-3.21, 1 Ba 3.29
Ba3 0.6495 0.2990 0.8199  3 Pt 3.11-3.25, 2 Ba 3.29

DFT formation energy = -0.98 eV per formula unit
final energy = -332.168 eV/cell
crystal system = monoclinic
spin magnetization = 0.0 μB/f.u.
symmetry = Cm, No. 8



No. 17
First-principles (SCAN) data for a PBEsol-optimized structure of CaScSb2, as listed in Alexandria via LeMat-Bulk.

Unit cell a=5.2369 b=5.2369 c=5.2369 alpha=60.00 beta=60.00 gamma=60.00
With the nearest neighbours (Å) after each atom.
Positions (direct):
Sc1 0.2500 0.2500 0.2500  4 Ca 3.21, 4 Sb 3.21
Sb1 0.7500 0.7500 0.7500  4 Sb 3.21, 4 Ca 3.21
Ca1 0.5000 0.5000 0.5000  4 Sb 3.21, 4 Sc 3.21
Sb2 0.0000 0.0000 0.0000  4 Sc 3.21, 4 Sb 3.21

final energy = -99.260 eV/cell
formation energy from raw total energies = -0.21 eV per atom
crystal system = cubic
spin magnetization = 0.0 μB/f.u.
E above lowest polymorph = 708 meV per atom
symmetry = F-43m, No. 216



No. 18
First-principles (SCAN) data for a PBEsol-optimized structure of LiLaInF2, as listed in Alexandria via LeMat-Bulk.

Unit cell a=4.5429 b=4.5429 c=5.1609 alpha=90.00 beta=90.00 gamma=90.00
With the nearest neighbours (Å) after each atom.
Positions (direct):
La1 0.5000 0.5000 0.5000  4 Li 3.21, 8 F 3.44
Li1 0.0000 0.0000 0.5000  2 In 2.58
F1 0.5000 0.0000 0.0000  2 In 2.27
F2 0.0000 0.5000 0.0000  2 In 2.27
In1 0.0000 0.0000 0.0000  4 F 2.27

final energy = -92.079 eV/cell
formation energy from raw total energies = -1.22 eV per atom
crystal system = tetragonal
spin magnetization = 0.8 μB/f.u.
symmetry = P4/mmm, No. 123



No. 19
First-principles (SCAN) data for a PBEsol-optimized structure of MgAg2W, as listed in Alexandria via LeMat-Bulk.

Unit cell a=2.8284 b=2.8284 c=9.6822 alpha=81.60 beta=81.60 gamma=60.00
With the nearest neighbours (Å) after each atom.
Positions (direct):
Ag1 0.7495 0.7495 0.7514  6 Ag 2.83, 3 Mg 2.88, 3 W 2.90
Ag2 0.2505 0.2505 0.2486  6 Ag 2.83, 3 Mg 2.88, 3 W 2.90
W1 0.5000 0.5000 0.5000  6 W 2.83, 6 Ag 2.90
Mg1 0.0000 0.0000 0.0000  6 Mg 2.83, 6 Ag 2.88

DFT formation energy = 1.40 eV per formula unit
final energy = -135.993 eV/cell
crystal system = trigonal
spin magnetization = 0.0 μB/f.u.
symmetry = R-3m, No. 166



No. 20
First-principles (SCAN) data for a PBEsol-optimized structure of NaGa2WCl, as listed in Alexandria via LeMat-Bulk.

Unit cell a=4.8803 b=4.8803 c=6.2656 alpha=90.00 beta=90.00 gamma=90.00
With the nearest neighbours (Å) after each atom.
Positions (direct):
Ga1 0.5000 0.0000 0.0000  2 W 2.44
Ga2 0.0000 0.5000 0.0000  2 W 2.44
Na1 0.0000 0.0000 0.5000  2 W 3.13, 4 Cl 3.45
Cl1 0.5000 0.5000 0.5000  4 Na 3.45
W1 0.0000 0.0000 0.0000  4 Ga 2.44

final energy = -111.395 eV/cell
formation energy from raw total energies = 0.64 eV per atom
crystal system = tetragonal
spin magnetization = 2.8 μB/f.u.
symmetry = P4/mmm, No. 123